Tb4Np: relaxed, PBE.

```
5
Lattice="5.553 0.000 0.000 0.000 5.553 0.000 0.000 0.000 5.553" Properties=species:S:1:pos:R:3 pbc="T T T"
Tb 0.000 0.000 0.000
Tb 0.000 2.776 2.776
Tb 2.776 0.000 2.776
Tb 2.776 2.776 0.000
Np 2.776 2.776 2.776
```

Calculated values
- E_form (eV/atom) = 0.70
- calculated total energy (Ry/atom) = -0.4109

Ac3MgIr: relaxed, PBE.

```
5
Lattice="5.862 0.000 0.000 0.000 5.862 0.000 0.000 0.000 5.862" Properties=species:S:1:pos:R:3 pbc="T T T"
Ac 0.000 0.000 2.931
Ac 0.000 2.931 0.000
Ac 2.931 0.000 0.000
Mg 2.931 2.931 2.931
Ir 0.000 0.000 0.000
```

Calculated values
- E_form (eV/atom) = -0.28
- excess energy over the best structure of this formula in the dataset (meV/atom) = 63
- calculated total energy (Ry/atom) = -0.3553

EuGe2Au: relaxed, PBE.

```
4
Lattice="4.429 0.000 0.000 0.000 4.429 0.000 0.000 0.000 4.314" Properties=species:S:1:pos:R:3 pbc="T T T"
Eu 0.000 0.000 0.000
Ge 0.000 2.214 2.157
Ge 2.214 0.000 2.157
Au 2.214 2.214 0.000
```

Calculated values
- E_form (eV/atom) = -0.36
- excess energy over the best structure of this formula in the dataset (meV/atom) = 0
- calculated total energy (Ry/atom) = -0.4449

Ho7In4Pb: relaxed, PBE.

```
12
Lattice="7.147 -2.866 0.000 7.147 2.866 0.000 -6.787 0.000 8.841" Properties=species:S:1:pos:R:3 pbc="T T T"
Ho 0.000 0.000 0.000
Ho -1.761 0.000 5.227
Ho 3.189 0.000 1.155
Ho 1.553 0.000 5.972
Ho 5.954 0.000 2.870
Ho 4.318 0.000 7.687
Ho 9.269 0.000 3.614
In -4.335 0.000 6.834
In 0.615 0.000 3.016
In 6.893 0.000 5.825
In 11.843 0.000 2.008
Pb 7.147 0.000 0.000
```

Calculated values
- E_form (eV/atom) = -0.16
- calculated total energy (Ry/atom) = -0.2977

RbScPd2F8: relaxed, PBE.

```
12
Lattice="5.680 0.000 0.000 -2.840 4.919 0.000 0.000 0.000 7.936" Properties=species:S:1:pos:R:3 pbc="T T T"
Rb 0.000 0.000 0.000
Sc 0.000 0.000 3.968
Pd 0.000 3.279 5.586
Pd 2.840 1.640 2.349
F -1.913 3.571 2.765
F 0.704 1.476 2.765
F 1.630 0.128 5.170
F 0.000 3.279 7.600
F 2.840 1.640 0.336
F 1.209 4.790 2.765
F 2.136 3.443 5.170
F 4.753 1.348 5.170
```

Calculated values
- calculated total energy (Ry/atom) = -0.3554

Rb2CdBr6F: relaxed, PBE.

```
10
Lattice="-3.713 3.713 5.870 3.713 -3.713 5.870 3.713 3.713 -5.870" Properties=species:S:1:pos:R:3 pbc="T T T"
Rb 3.713 0.000 2.935
Rb 0.000 3.713 2.935
Cd 0.000 0.000 0.000
Br 0.000 0.000 2.675
Br 1.934 1.934 0.000
Br 1.779 -1.779 5.870
Br -1.779 1.779 5.870
Br 1.779 1.779 5.870
Br 0.000 0.000 9.065
F 0.000 0.000 5.870
```

Calculated values
- calculated total energy (Ry/atom) = -0.1711

Mn3SiPd: relaxed, PBE.

```
5
Lattice="4.781 0.000 0.000 0.000 4.781 0.000 0.000 0.000 4.781" Properties=species:S:1:pos:R:3 pbc="T T T"
Mn 0.000 0.000 2.390
Mn 0.000 2.390 0.000
Mn 2.390 0.000 0.000
Si 2.390 2.390 2.390
Pd 0.000 0.000 0.000
```

Calculated values
- calculated total energy (Ry/atom) = -0.4850

NdMgHgGe: relaxed, PBE.

```
4
Lattice="0.000 3.618 3.618 3.618 0.000 3.618 3.618 3.618 0.000" Properties=species:S:1:pos:R:3 pbc="T T T"
Nd 0.000 0.000 0.000
Mg 3.618 3.618 3.618
Hg 1.809 1.809 1.809
Ge 5.427 5.427 5.427
```

Calculated values
- E_form (eV/atom) = -0.40
- calculated total energy (Ry/atom) = -0.2365

Across the entries above, density takes the values 8.46, 7.40, 9.70, 8.35, 3.71, 4.01, 4.55, 7.74 g cm⁻³, respectively.